<one>
DFT (PBE-GGA) results for crystalline TbErGaCo at its relaxed geometry.

Cell lengths 6.9403, 6.9403, 6.9403 Å; angles 90.00, 90.00, 90.00 degrees
Last column: nearest neighbours and their distance in Å.
Space group F-43m (No. 216)
Asymmetric unit:
Tb: 0.0000 0.0000 0.0000 [4 per cell]  4 Ga 3.01, 4 Co 3.01
Er: 0.0000 0.0000 0.5000 [4 per cell]  4 Co 3.01, 4 Ga 3.01
Ga: 0.2500 0.2500 0.2500 [4 per cell]  4 Er 3.01, 4 Tb 3.01
Co: 0.2500 0.2500 0.7500 [4 per cell]  4 Tb 3.01, 4 Er 3.01

Properties
magnetization = 1.020 μB/f.u.



<two>
DFT (PBE-GGA) results for crystalline TbErGaCo at its relaxed geometry.

Cell lengths 4.2273, 3.8716, 10.5390 Å; angles 90.00, 90.00, 90.00 degrees
Last column: nearest neighbours and their distance in Å.
Space group Amm2 (No. 38)
Asymmetric unit:
Tb: 0.0000 0.0000 0.0000 [2 per cell]  3 Co 2.92-3.08, 4 Ga 2.98
Er: 0.5000 0.0000 0.7162 [2 per cell]  3 Ga 2.91-3.10, 4 Co 2.98
Ga: 0.5000 0.0000 0.4218 [2 per cell]  2 Co 2.52
Co: 0.0000 0.0000 0.2920 [2 per cell]  2 Ga 2.52

Properties
magnetization = 0.000 μB/f.u.



Which one sits at the top of the stability order? <two> does.



<one>
DFT (PBE-GGA) results for crystalline ErTmGaCo at its relaxed geometry.

Cell lengths 6.8646, 6.8646, 6.8646 Å; angles 90.00, 90.00, 90.00 degrees
Last column: nearest neighbours and their distance in Å.
Space group F-43m (No. 216)
Asymmetric unit:
Er: 0.0000 0.0000 0.0000 [4 per cell]  4 Co 2.97, 4 Ga 2.97
Tm: 0.0000 0.0000 0.5000 [4 per cell]  4 Co 2.97, 4 Ga 2.97
Ga: 0.2500 0.2500 0.7500 [4 per cell]  4 Er 2.97, 4 Tm 2.97
Co: 0.2500 0.2500 0.2500 [4 per cell]  4 Er 2.97, 4 Tm 2.97

Properties
magnetization = 0.900 μB/f.u.



<two>
DFT (PBE-GGA) results for crystalline ErTmGaCo at its relaxed geometry.

Cell lengths 4.2057, 3.8187, 10.4324 Å; angles 90.00, 90.00, 90.00 degrees
Last column: nearest neighbours and their distance in Å.
Space group Amm2 (No. 38)
Asymmetric unit:
Er: 0.0000 0.0000 0.0000 [2 per cell]  3 Co 2.90-3.04, 4 Ga 2.95
Tm: 0.5000 0.0000 0.2846 [2 per cell]  3 Ga 2.89-3.05, 4 Co 2.95
Ga: 0.5000 0.0000 0.5768 [2 per cell]  2 Co 2.51
Co: 0.0000 0.0000 0.7089 [2 per cell]  2 Ga 2.51

Properties
magnetization = 0.000 μB/f.u.



Which one sits at the top of the stability order? <two> does.